A relaxed structure of InSi2Mo, computed with PBE.

## Properties
crystal system	tetragonal
D(E_F)	0.6766	states/eV per atom
uncorrected energy	-5.639	eV/atom
space group	I-4m2, No. 119
uncorrected formation energy	0.47	eV/atom

Lattice parameters (Å, degrees): 5.122 5.122 5.122 135.22 135.22 65.19
Element x y z (fractional)
In 0.000 0.000 0.000
Si 0.500 0.500 0.000
Si 0.750 0.250 0.500
Mo 0.250 0.750 0.500


A relaxed structure of Pu3ReN6, computed with PBE.

## Properties
crystal system	orthorhombic
D(E_F)	1.5922	states/eV per atom
uncorrected energy	-11.467	eV/atom
space group	Cmc2_1, No. 36
uncorrected formation energy	-0.93	eV/atom

Lattice parameters (Å, degrees): 7.306 7.306 5.485 90.00 90.00 103.64
Element x y z (fractional)
Pu 0.102 0.898 0.500
Pu 0.197 0.403 0.526
Pu 0.403 0.197 0.026
Pu 0.597 0.803 0.526
Pu 0.803 0.597 0.026
Pu 0.898 0.102 0.000
Re 0.304 0.696 0.073
Re 0.696 0.304 0.573
N 0.081 0.605 0.237
N 0.147 0.167 0.267
N 0.167 0.147 0.767
N 0.290 0.710 0.734
N 0.395 0.919 0.237
N 0.454 0.546 0.198
N 0.546 0.454 0.698
N 0.605 0.081 0.737
N 0.710 0.290 0.234
N 0.833 0.853 0.267
N 0.853 0.833 0.767
N 0.919 0.395 0.737


A relaxed structure of SrNi2GeOs, computed with PBE.

## Properties
crystal system	tetragonal
D(E_F)	1.1562	states/eV per atom
uncorrected energy	-4.589	eV/atom
space group	P4/mmm, No. 123
DFT formation energy	593	kJ/mol of formula units

Lattice parameters (Å, degrees): 4.384 4.384 5.567 90.00 90.00 90.00
Element x y z (fractional)
Sr 0.000 0.000 0.000
Ni 0.000 0.500 0.500
Ni 0.500 0.000 0.500
Ge 0.000 0.000 0.500
Os 0.500 0.500 0.000


A relaxed structure of TcHgW2, computed with PBE.

## Properties
crystal system	tetragonal
D(E_F)	0.9075	states/eV per atom
uncorrected energy	-8.092	eV/atom
space group	I-42d, No. 122
DFT formation energy	406	kJ/mol of formula units

Lattice parameters (Å, degrees): 5.907 5.907 5.907 102.21 102.21 125.23
Element x y z (fractional)
Tc 0.000 0.000 0.000
Tc 0.750 0.250 0.500
Hg 0.250 0.750 0.500
Hg 0.500 0.500 0.000
W 0.078 0.625 0.953
W 0.375 0.328 0.453
W 0.672 0.125 0.047
W 0.875 0.922 0.547